No. 1
The following is a DFT calculation (PBE-GGA) of a relaxed Dy2ErScSe6 crystal.

Summary:
Density of states at the Fermi level   0.000 states/eV/f.u.
Magnetic moment   0.00 μB per formula unit
Space-group type   R3, No. 146
Energy relative to the elements, uncorrected   -1797 meV/atom
Theoretical density   6.05 g cm⁻³

a = 7.5818 Å, b = 7.5818 Å, c = 7.5818 Å
α = 55.72°, β = 55.72°, γ = 55.72°
With the nearest neighbours (Å) after each atom.
Positions (direct):
Dy  0.0000  0.0000  0.0000  6 Se 2.83-2.91
Dy  0.4982  0.4982  0.4982  6 Se 2.85-2.90
Er  0.1948  0.1948  0.1948  6 Se 2.81-2.88
Sc  0.6925  0.6925  0.6925  6 Se 2.72-2.76
Se  0.0775  0.4208  0.7975  1 Sc 2.72, 2 Dy 2.85-2.91, 1 Er 2.88
Se  0.3052  0.9067  0.5908  1 Sc 2.76, 1 Er 2.81, 2 Dy 2.83-2.90
Se  0.4208  0.7975  0.0775  1 Sc 2.72, 2 Dy 2.85-2.91, 1 Er 2.88
Se  0.5908  0.3052  0.9067  1 Sc 2.76, 1 Er 2.81, 2 Dy 2.83-2.90
Se  0.7975  0.0775  0.4208  1 Sc 2.72, 2 Dy 2.85-2.91, 1 Er 2.88
Se  0.9067  0.5908  0.3052  1 Sc 2.76, 1 Er 2.81, 2 Dy 2.83-2.90

---

No. 2
The following is a DFT calculation (PBE-GGA) of a relaxed AlInAu2Se4 crystal.

Summary:
Density of states at the Fermi level   1.480 states/eV/f.u.
Magnetic moment   0.00 μB per formula unit
Space-group type   I-4, No. 82
Energy relative to the elements, uncorrected   -392 meV/atom
Theoretical density   6.61 g cm⁻³

a = 7.2585 Å, b = 7.2585 Å, c = 7.2585 Å
α = 130.84°, β = 130.84°, γ = 72.06°
With the nearest neighbours (Å) after each atom.
Positions (direct):
Al  0.0000  0.0000  0.0000  4 Se 2.44
In  0.2500  0.7500  0.5000  4 Se 2.65
Au  0.5000  0.5000  0.0000  4 Se 2.65
Au  0.7500  0.2500  0.5000  4 Se 2.63
Se  0.1162  0.1196  0.4713  1 Al 2.44, 2 Au 2.63-2.65, 1 In 2.65
Se  0.3551  0.8838  0.0034  1 Al 2.44, 2 Au 2.63-2.65, 1 In 2.65
Se  0.6482  0.6449  0.5287  1 Al 2.44, 2 Au 2.63-2.65, 1 In 2.65
Se  0.8804  0.3518  0.9966  1 Al 2.44, 2 Au 2.63-2.65, 1 In 2.65

---

No. 3
The following is a DFT calculation (PBE-GGA) of a relaxed ZnCuCl2 crystal.

Summary:
Density of states at the Fermi level   2.330 states/eV/f.u.
Magnetic moment   0.00 μB per formula unit
Space-group type   R3m, No. 160
Energy relative to the elements, uncorrected   -419 meV/atom
Theoretical density   3.78 g cm⁻³

a = 8.4003 Å, b = 8.4003 Å, c = 8.4003 Å
α = 24.24°, β = 24.24°, γ = 24.24°
With the nearest neighbours (Å) after each atom.
Positions (direct):
Zn  0.0000  0.0000  0.0000  3 Cl 2.48, 3 Cu 2.70
Cu  0.7391  0.7391  0.7391  3 Cl 2.37
Cl  0.2753  0.2753  0.2753  3 Zn 2.48
Cl  0.4554  0.4554  0.4554  3 Cu 2.37

---

No. 4
The following is a DFT calculation (PBE-GGA) of a relaxed Ce2NdTc crystal.

Summary:
Density of states at the Fermi level   7.246 states/eV/f.u.
Magnetic moment   0.00 μB per formula unit
E_form   48 kJ/mol of formula units
Space-group type   R-3m, No. 166
Theoretical density   7.49 g cm⁻³

a = 9.2907 Å, b = 9.2907 Å, c = 9.2907 Å
α = 23.92°, β = 23.92°, γ = 23.92°
With the nearest neighbours (Å) after each atom.
Positions (direct):
Ce  0.2252  0.2252  0.2252  3 Tc 2.73
Ce  0.7748  0.7748  0.7748  3 Tc 2.73
Nd  0.0000  0.0000  0.0000  6 Ce 3.68, 6 Nd 3.85
Tc  0.5000  0.5000  0.5000  6 Ce 2.73

---

No. 5
The following is a DFT calculation (PBE-GGA) of a relaxed Tb6CePm2 crystal.

Summary:
Density of states at the Fermi level   21.440 states/eV/f.u.
Magnetic moment   1.40 μB per formula unit
E_form   184 kJ/mol of formula units
Space-group type   C2/m, No. 12
Theoretical density   7.74 g cm⁻³

a = 10.2448 Å, b = 10.2448 Å, c = 3.4047 Å
α = 99.32°, β = 99.32°, γ = 57.74°
With the nearest neighbours (Å) after each atom.
Positions (direct):
Tb  0.1507  0.5179  0.3347  7 Tb 3.40-3.68, 1 Ce 3.44, 3 Pm 3.49-3.56
Tb  0.1914  0.8086  0.0000  7 Tb 3.40-3.79, 2 Pm 3.47, 2 Ce 3.50
Tb  0.4821  0.8493  0.6653  7 Tb 3.40-3.68, 1 Ce 3.44, 3 Pm 3.49-3.56
Tb  0.5179  0.1507  0.3347  7 Tb 3.40-3.68, 1 Ce 3.44, 3 Pm 3.49-3.56
Tb  0.8086  0.1914  0.0000  7 Tb 3.40-3.79, 2 Pm 3.47, 2 Ce 3.50
Tb  0.8493  0.4821  0.6653  7 Tb 3.40-3.68, 1 Ce 3.44, 3 Pm 3.49-3.56
Ce  0.5000  0.5000  0.5000  2 Ce 3.40, 8 Tb 3.44-3.50
Pm  0.1651  0.1651  0.1644  2 Pm 3.40, 8 Tb 3.47-3.56
Pm  0.8349  0.8349  0.8356  2 Pm 3.40, 8 Tb 3.47-3.56

---

No. 6
The following is a DFT calculation (PBE-GGA) of a relaxed LaSmErZn crystal.

Summary:
Density of states at the Fermi level   5.095 states/eV/f.u.
Magnetic moment   0.00 μB per formula unit
E_form   6 kJ/mol of formula units
Space-group type   F-43m, No. 216
Theoretical density   7.55 g cm⁻³

a = 5.4554 Å, b = 5.4554 Å, c = 5.4554 Å
α = 60.00°, β = 60.00°, γ = 60.00°
With the nearest neighbours (Å) after each atom.
Positions (direct):
La  0.0000  0.0000  0.0000  4 Er 3.34, 4 Zn 3.34
Sm  0.5000  0.5000  0.5000  4 Zn 3.34, 4 Er 3.34
Er  0.2500  0.2500  0.2500  4 Sm 3.34, 4 La 3.34
Zn  0.7500  0.7500  0.7500  4 Sm 3.34, 4 La 3.34